1.
A relaxed Sr2CdHgPd6 crystal, computed with PBE.

Cell and atoms, written as POSCAR:
```
Sr2CdHgPd6
1.0
0.0000 5.0717 5.0717
5.0717 0.0000 5.0717
5.0717 5.0717 0.0000
Sr Cd Hg Pd
2 1 1 6
direct
0.2500 0.2500 0.2500 Sr
0.7500 0.7500 0.7500 Sr
0.0000 0.0000 0.0000 Cd
0.5000 0.5000 0.5000 Hg
0.2478 0.2478 0.7522 Pd
0.2478 0.7522 0.2478 Pd
0.2478 0.7522 0.7522 Pd
0.7522 0.2478 0.2478 Pd
0.7522 0.2478 0.7522 Pd
0.7522 0.7522 0.2478 Pd
```

Values from the calculation:
Its symmetry is Fm-3m, No. 225. Its total magnetization is 0.00 μB per atom. Its uncorrected energy is -35.1 eV/cell. Its formation energy is 64.5 meV/atom. The density of states at the Fermi level comes out at 4.64 states/eV per cell.

---

2.
A relaxed GaAgAsAuCl crystal, computed with PBE.

Cell and atoms, written as POSCAR:
```
GaAgAsAuCl
1.0
4.2256 -1.8937 0.0000
4.2256 1.8937 0.0000
-2.8390 0.0000 7.8658
Ga Ag As Au Cl
1 1 1 1 1
direct
0.0000 0.0000 0.0000 Ga
0.7838 0.7838 0.5180 Ag
0.2637 0.2637 0.7608 As
0.5407 0.5407 0.6893 Au
0.7171 0.7171 0.1997 Cl
```

Values from the calculation:
Its symmetry is Cm, No. 8. For the energy above the most stable polymorph in this dataset, the calculation gives 41 meV/atom. As for the formation energy without anion corrections: -0.14 eV per atom. Its total magnetization is 0.00 μB per atom. Its uncorrected energy is -16.3 eV/cell. The density of states at the Fermi level comes out at 1.00 states/eV per cell.

---

3.
A relaxed SmDyThAl crystal, computed with PBE.

Cell and atoms, written as POSCAR:
```
SmDyThAl
1.0
0.0000 3.8294 3.8294
3.8294 0.0000 3.8294
3.8294 3.8294 0.0000
Sm Dy Th Al
1 1 1 1
direct
0.0000 0.0000 0.0000 Sm
0.2500 0.2500 0.2500 Dy
0.5000 0.5000 0.5000 Th
0.7500 0.7500 0.7500 Al
```

Values from the calculation:
Its symmetry is F-43m, No. 216. Its total magnetization is 0.00 μB per atom. Its uncorrected energy is -20.6 eV/cell. Its formation energy is -17.5 meV/atom. The density of states at the Fermi level comes out at 4.86 states/eV per cell.

---

4.
A relaxed BaTaAs crystal, computed with PBE.

Cell and atoms, written as POSCAR:
```
BaTaAs
1.0
3.7842 0.0000 0.0000
-1.8921 3.2772 0.0000
0.0000 0.0000 6.7140
Ba Ta As
1 1 1
direct
0.0000 0.0000 0.0000 Ba
0.6667 0.3333 0.4403 Ta
0.3333 0.6667 0.6405 As
```

Values from the calculation:
Its symmetry is P3m1, No. 156. For the energy above the most stable polymorph in this dataset, the calculation gives 764 meV/atom. Its total magnetization is 0.12 μB per atom. Its uncorrected energy is -18.0 eV/cell. Its formation energy is 138.8 meV/atom. The density of states at the Fermi level comes out at 1.96 states/eV per cell.

---

5.
A relaxed Ti2In5Br12 crystal, computed with PBE.

Cell and atoms, written as POSCAR:
```
Ti2In5Br12
1.0
8.9201 -3.8637 0.0000
8.9201 3.8637 0.0000
-2.7360 0.0000 10.0108
Ti In Br
2 5 12
direct
0.2379 0.7621 0.0000 Ti
0.7621 0.2379 0.0000 Ti
0.1881 0.1881 0.8015 In
0.2021 0.2021 0.3632 In
0.5000 0.5000 0.5000 In
0.7979 0.7979 0.6368 In
0.8119 0.8119 0.1985 In
0.0012 0.0012 0.1818 Br
0.0979 0.5988 0.4262 Br
0.1009 0.6130 0.9377 Br
0.3870 0.8991 0.0623 Br
0.4012 0.9022 0.5738 Br
0.4985 0.4985 0.8318 Br
0.5015 0.5015 0.1682 Br
0.5988 0.0979 0.4262 Br
0.6130 0.1009 0.9377 Br
0.8991 0.3870 0.0623 Br
0.9022 0.4012 0.5738 Br
0.9988 0.9988 0.8182 Br
```

Values from the calculation:
Its symmetry is C2/m, No. 12. As for the formation energy without anion corrections: -0.88 eV per atom. Its total magnetization is 0.05 μB per atom. Its uncorrected energy is -66.2 eV/cell. The density of states at the Fermi level comes out at 1.34 states/eV per cell.

---

6.
A relaxed SrZr2TaRe crystal, computed with PBE.

Cell and atoms, written as POSCAR:
```
SrZr2TaRe
1.0
5.0573 0.0000 0.0000
0.0000 5.0573 0.0000
0.0000 0.0000 5.4061
Sr Zr Ta Re
1 2 1 1
direct
0.0000 0.0000 0.0000 Sr
0.0000 0.5000 0.5000 Zr
0.5000 0.0000 0.5000 Zr
0.0000 0.0000 0.5000 Ta
0.5000 0.5000 0.0000 Re
```

Values from the calculation:
Its symmetry is P4/mmm, No. 123. Its total magnetization is 0.01 μB per atom. Its uncorrected energy is -33.4 eV/cell. Its formation energy is 1939.8 meV/atom. The density of states at the Fermi level comes out at 9.03 states/eV per cell.

---

7.
A relaxed LiCu2Ir crystal, computed with PBE.

Cell and atoms, written as POSCAR:
```
LiCu2Ir
1.0
4.4301 -1.2681 0.0000
4.4301 1.2681 0.0000
-0.5976 0.0000 4.5903
Li Cu Ir
1 2 1
direct
0.0000 0.0000 0.0000 Li
0.2438 0.2438 0.7488 Cu
0.7562 0.7562 0.2512 Cu
0.5000 0.5000 0.5000 Ir
```

Values from the calculation:
Its symmetry is C2/m, No. 12. For the energy above the most stable polymorph in this dataset, the calculation gives 111 meV/atom. Its total magnetization is 0.00 μB per atom. Its uncorrected energy is -18.9 eV/cell. Its formation energy is 20.8 meV/atom. The density of states at the Fermi level comes out at 2.65 states/eV per cell.

---

8.
A relaxed Mg6SbW crystal, computed with PBE.

Cell and atoms, written as POSCAR:
```
Mg6SbW
1.0
5.1777 0.0000 0.0000
0.0000 2.9581 5.3867
0.0000 -2.9581 5.3867
Mg Sb W
6 1 1
direct
0.0000 0.0000 0.0000 Mg
0.0000 0.0118 0.4861 Mg
0.0000 0.4861 0.0118 Mg
0.0000 0.4880 0.4880 Mg
0.5000 0.3362 0.8320 Mg
0.5000 0.8320 0.3362 Mg
0.5000 0.8362 0.8362 Sb
0.5000 0.3328 0.3328 W
```

Values from the calculation:
Its symmetry is Amm2, No. 38. For the energy above the most stable polymorph in this dataset, the calculation gives 59 meV/atom. As for the formation energy without anion corrections: 0.24 eV per atom. Its total magnetization is 0.09 μB per atom. Its uncorrected energy is -24.7 eV/cell. The density of states at the Fermi level comes out at 5.50 states/eV per cell.

---

9.
A relaxed BaTiSn2Pb crystal, computed with PBE.

Cell and atoms, written as POSCAR:
```
BaTiSn2Pb
1.0
5.3833 0.0000 0.0000
0.0000 5.3833 0.0000
0.0000 0.0000 5.4549
Ba Ti Sn Pb
1 1 2 1
direct
0.0000 0.0000 0.0000 Ba
0.5000 0.5000 0.5000 Ti
0.0000 0.5000 0.5000 Sn
0.5000 0.0000 0.5000 Sn
0.5000 0.5000 0.0000 Pb
```

Values from the calculation:
Its symmetry is P4/mmm, No. 123. Its total magnetization is 0.00 μB per atom. Its uncorrected energy is -23.1 eV/cell. Its formation energy is -322.2 meV/atom. The density of states at the Fermi level comes out at 2.21 states/eV per cell.

---

10.
A relaxed La8Pm2Ho crystal, computed with PBE.

Cell and atoms, written as POSCAR:
```
La8Pm2Ho
1.0
4.6451 -8.4681 0.0000
4.6451 8.4681 0.0000
-3.4079 0.0000 5.0634
La Pm Ho
8 2 1
direct
0.0962 0.3310 0.6822 La
0.2052 0.7948 0.0000 La
0.3310 0.0962 0.6822 La
0.4193 0.4193 0.2011 La
0.5807 0.5807 0.7989 La
0.6690 0.9038 0.3178 La
0.7948 0.2052 0.0000 La
0.9038 0.6690 0.3178 La
0.3096 0.6904 0.5000 Pm
0.6904 0.3096 0.5000 Pm
0.0000 0.0000 0.0000 Ho
```

Values from the calculation:
Its symmetry is C2/m, No. 12. For the energy above the most stable polymorph in this dataset, the calculation gives 0 meV/atom. Its total magnetization is 0.00 μB per atom. Its uncorrected energy is -52.2 eV/cell. Its formation energy is 122.6 meV/atom. The density of states at the Fermi level comes out at 15.55 states/eV per cell.

---

11.
A relaxed YAl3Tl crystal, computed with PBE.

Cell and atoms, written as POSCAR:
```
YAl3Tl
1.0
5.6310 0.0000 0.0000
0.0000 5.6310 0.0000
0.0000 0.0000 5.6310
Y Al Tl
1 3 1
direct
0.0000 0.0000 0.0000 Y
0.0000 0.0000 0.5000 Al
0.0000 0.5000 0.0000 Al
0.5000 0.0000 0.0000 Al
0.5000 0.5000 0.5000 Tl
```

Values from the calculation:
Its symmetry is Pm-3m, No. 221. For the energy above the most stable polymorph in this dataset, the calculation gives 212 meV/atom. Its total magnetization is 0.00 μB per atom. Its uncorrected energy is -15.5 eV/cell. Its formation energy is 903.4 meV/atom. The density of states at the Fermi level comes out at 4.88 states/eV per cell.

---

12.
A relaxed Ac2DyTm2Hg5 crystal, computed with PBE.

Cell and atoms, written as POSCAR:
```
Ac2DyTm2Hg5
1.0
12.1240 0.0000 0.0000
0.0000 12.1240 0.0000
0.0000 0.0000 3.9633
Ac Dy Tm Hg
4 2 4 10
direct
0.1732 0.3268 0.0000 Ac
0.3268 0.8268 0.0000 Ac
0.6732 0.1732 0.0000 Ac
0.8268 0.6732 0.0000 Ac
0.0000 0.0000 0.0000 Dy
0.5000 0.5000 0.0000 Dy
0.1287 0.6287 0.0000 Tm
0.3713 0.1287 0.0000 Tm
0.6287 0.8713 0.0000 Tm
0.8713 0.3713 0.0000 Tm
0.0000 0.5000 0.5000 Hg
0.0766 0.8154 0.5000 Hg
0.1846 0.0766 0.5000 Hg
0.3154 0.5766 0.5000 Hg
0.4234 0.3154 0.5000 Hg
0.5000 0.0000 0.5000 Hg
0.5766 0.6846 0.5000 Hg
0.6846 0.4234 0.5000 Hg
0.8154 0.9234 0.5000 Hg
0.9234 0.1846 0.5000 Hg
```

Values from the calculation:
Its symmetry is P4/mbm, No. 127. Its total magnetization is 0.06 μB per atom. Its uncorrected energy is -53.6 eV/cell. Its formation energy is -353.4 meV/atom. The density of states at the Fermi level comes out at 13.88 states/eV per cell.